# 1
Below is a relaxed MoP2Ir crystal, with properties calculated at the PBE level.

The space group is I-42d (No. 122) and the conventional cell measures 5.445, 5.445 and 10.202 Å, with angles of 90.00, 90.00 and 90.00 degrees. The distinct sites, in fractional coordinates, are Mo at (0.000, 0.000, 0.000), P at (0.237, 0.250, 0.625) and Ir at (0.000, 0.000, 0.500).

For the magnetic moment, the calculation gives 0.0 μB per cell. As for the calculated volume: 76 Å³/f.u. The relative energy among the computed polymorphs comes out at 1.19 eV per formula unit. The energy relative to the elements is -0.0980 eV/atom. The calculation puts the uncorrected energy at -7.726 eV/atom. The calculated density is 7.689 g/cm3.

---

# 2
Below is a relaxed MoP2Ir crystal, with properties calculated at the PBE level.

The space group is Cm (No. 8) and the conventional cell measures 8.080, 3.232 and 4.756 Å, with angles of 90.00, 106.00 and 90.00 degrees. The distinct sites, in fractional coordinates, are Mo at (0.000, 0.000, 0.000), P at (0.029, 0.500, 0.614), P at (0.289, 0.000, 0.047) and Ir at (0.280, 0.500, 0.410).

For the magnetic moment, the calculation gives 0.0 μB per cell. As for the calculated volume: 60 Å³/f.u. The relative energy among the computed polymorphs comes out at 0.30 eV per formula unit. The energy relative to the elements is -0.3203 eV/atom. The calculation puts the uncorrected energy at -7.948 eV/atom. The calculated density is 9.737 g/cm3.

---

# 3
Below is a relaxed Mo2PIr crystal, with properties calculated at the PBE level.

The space group is I-4m2 (No. 119) and the conventional cell measures 3.789, 3.789 and 8.142 Å, with angles of 90.00, 90.00 and 90.00 degrees. The distinct sites, in fractional coordinates, are Mo at (0.000, 0.000, 0.000), Mo at (0.000, 0.500, 0.250), P at (0.000, 0.500, 0.750) and Ir at (0.000, 0.000, 0.500).

For the magnetic moment, the calculation gives 0.0 μB per cell. As for the calculated volume: 58 Å³/f.u. The energy relative to the elements is 0.0592 eV/atom. The calculation puts the uncorrected energy at -8.924 eV/atom. The calculated density is 11.797 g/cm3.

---

# 4
Below is a relaxed MoP2Ir crystal, with properties calculated at the PBE level.

The space group is Pm (No. 6) and the conventional cell measures 3.838, 4.504 and 4.221 Å, with angles of 90.00, 115.00 and 90.00 degrees. The distinct sites, in fractional coordinates, are Mo at (0.000, 0.000, 0.000), P at (0.668, 0.000, 0.357), P at (0.884, 0.500, 0.756) and Ir at (0.549, 0.500, 0.110).

For the magnetic moment, the calculation gives 0.0 μB per cell. As for the calculated volume: 66 Å³/f.u. The relative energy among the computed polymorphs comes out at 0.00 eV per formula unit. The energy relative to the elements is -0.3945 eV/atom. The calculation puts the uncorrected energy at -8.022 eV/atom. The calculated density is 8.794 g/cm3.

---

# 5
Below is a relaxed Mo3PIr crystal, with properties calculated at the PBE level.

The space group is Pm-3m (No. 221) and the conventional cell measures 4.752, 4.752 and 4.752 Å, with angles of 90.00, 90.00 and 90.00 degrees. The distinct sites, in fractional coordinates, are Mo at (0.000, 0.000, 0.500), P at (0.500, 0.500, 0.500) and Ir at (0.000, 0.000, 0.000).

For the magnetic moment, the calculation gives 1.3 μB per cell. As for the calculated volume: 107 Å³/f.u. The relative energy among the computed polymorphs comes out at 5.65 eV per formula unit. The energy relative to the elements is 1.7787 eV/atom. The calculation puts the uncorrected energy at -7.574 eV/atom. The calculated density is 7.906 g/cm3.

---

# 6
Below is a relaxed MoP2Ir crystal, with properties calculated at the PBE level.

The space group is P4mm (No. 99) and the conventional cell measures 2.894, 2.894 and 7.781 Å, with angles of 90.00, 90.00 and 90.00 degrees. The distinct sites, in fractional coordinates, are Mo at (0.000, 0.000, 0.000), P at (0.000, 0.000, 0.554), P at (0.500, 0.500, 0.180) and Ir at (0.500, 0.500, 0.734).

For the magnetic moment, the calculation gives 0.0 μB per cell. As for the calculated volume: 65 Å³/f.u. The relative energy among the computed polymorphs comes out at 1.43 eV per formula unit. The energy relative to the elements is -0.0372 eV/atom. The calculation puts the uncorrected energy at -7.665 eV/atom. The calculated density is 8.919 g/cm3.